1.
VASP calculation (meta-GGA SCAN) on a PBEsol-optimized structure of Re2MoRu.

Cell: 6.158 6.158 6.158 Å, 90.00 90.00 90.00°
Space group F-43m (No. 216)
Inequivalent atoms, fractional coordinates:
Re  0.000  0.000  0.000
Re  0.250  0.250  0.250
Mo  0.000  0.000  0.500
Ru  0.250  0.250  0.750

ΔH_f (0 K)	0.277	eV per atom
density	16.2	g/cm³
total magnetic moment	0.0	μB per formula unit
N(E_F)	5.5	states/eV/f.u.



2.
VASP calculation (meta-GGA SCAN) on a PBEsol-optimized structure of ReSb2Mo.

Cell: 4.183 4.183 18.197 Å, 90.00 90.00 90.00°
Space group I-42d (No. 122)
Inequivalent atoms, fractional coordinates:
Re  0.000  0.000  0.000
Sb  0.248  0.250  0.125
Mo  0.000  0.000  0.500

E_form (uncorrected)	3.8	eV/f.u.
density	11.0	g/cm³
total magnetic moment	0.7	μB per formula unit
N(E_F)	3.4	states/eV/f.u.



3.
VASP calculation (meta-GGA SCAN) on a PBEsol-optimized structure of ReSb2Mo.

Cell: 3.1303 3.1303 25.3374 Å, 90.00 90.00 120.00°
Space group R-3m (No. 166, hexagonal axes)
Inequivalent atoms, fractional coordinates:
Re  0.0000  0.0000  0.0000
Sb  0.0000  0.0000  0.2514
Mo  0.0000  0.0000  0.5000

E_form (uncorrected)	2.4	eV/f.u.
density	12.2	g/cm³
total magnetic moment	0.0	μB per formula unit
N(E_F)	3.7	states/eV/f.u.



4.
VASP calculation (meta-GGA SCAN) on a PBEsol-optimized structure of ReSbMo.

Cell: 3.080 3.080 10.381 Å, 90.00 90.00 90.00°
Space group I4mm (No. 107)
Inequivalent atoms, fractional coordinates:
Re  0.000  0.000  0.000
Sb  0.000  0.000  0.334
Mo  0.000  0.000  0.659

E_form (uncorrected)	1.2	eV/f.u.
density	13.6	g/cm³
total magnetic moment	0.0	μB per formula unit
N(E_F)	2.2	states/eV/f.u.



5.
VASP calculation (meta-GGA SCAN) on a PBEsol-optimized structure of ScReMo2.

Cell: 6.298 6.298 6.298 Å, 90.00 90.00 90.00°
Space group Fm-3m (No. 225)
Inequivalent atoms, fractional coordinates:
Sc  0.000  0.000  0.000
Re  0.000  0.000  0.500
Mo  0.250  0.250  0.250

ΔH_f (0 K)	-0.013	eV per atom
density	11.2	g/cm³
total magnetic moment	0.0	μB per formula unit
N(E_F)	3.4	states/eV/f.u.



6.
VASP calculation (meta-GGA SCAN) on a PBEsol-optimized structure of ScReMo2.

Cell: 3.149 4.456 9.038 Å, 90.00 90.00 90.00°
Space group Immm (No. 71)
Inequivalent atoms, fractional coordinates:
Sc  0.000  0.000  0.000
Re  0.000  0.000  0.500
Mo  0.000  0.500  0.238

ΔH_f (0 K)	-0.076	eV per atom
density	11.1	g/cm³
total magnetic moment	0.0	μB per formula unit
N(E_F)	1.8	states/eV/f.u.



7.
VASP calculation (meta-GGA SCAN) on a PBEsol-optimized structure of ScReMo2.

Cell: 2.685 4.567 5.237 Å, 90.00 90.00 90.00°
Space group Pmmm (No. 47)
Inequivalent atoms, fractional coordinates:
Sc  0.000  0.000  0.000
Re  0.000  0.000  0.500
Mo  0.500  0.500  0.251

ΔH_f (0 K)	0.253	eV per atom
density	10.9	g/cm³
total magnetic moment	0.0	μB per formula unit
N(E_F)	3.0	states/eV/f.u.



8.
VASP calculation (meta-GGA SCAN) on a PBEsol-optimized structure of ScRe2Mo.

Cell: 2.764 4.411 5.173 Å, 90.00 100.90 90.00°
Space group Pm (No. 6)
Inequivalent atoms, fractional coordinates:
Sc  0.000  0.000  0.000
Re  0.266  0.500  0.748
Re  0.511  0.000  0.501
Mo  0.736  0.500  0.249

ΔH_f (0 K)	-0.065	eV per atom
density	13.8	g/cm³
total magnetic moment	0.0	μB per formula unit
N(E_F)	2.2	states/eV/f.u.



9.
VASP calculation (meta-GGA SCAN) on a PBEsol-optimized structure of ReMo3Se.

Cell: 4.699 4.699 4.699 Å, 90.00 90.00 90.00°
Space group Pm-3m (No. 221)
Inequivalent atoms, fractional coordinates:
Re  0.000  0.000  0.000
Mo  0.000  0.000  0.500
Se  0.500  0.500  0.500

E_form (uncorrected)	8.8	eV/f.u.
density	8.8	g/cm³
total magnetic moment	0.8	μB per formula unit
N(E_F)	4.9	states/eV/f.u.



10.
VASP calculation (meta-GGA SCAN) on a PBEsol-optimized structure of ReMoSe.

Cell: 2.963 2.963 10.091 Å, 90.00 90.00 90.00°
Space group I4mm (No. 107)
Inequivalent atoms, fractional coordinates:
Re  0.000  0.000  0.000
Mo  0.000  0.000  0.325
Se  0.000  0.000  0.664

E_form (uncorrected)	0.8	eV/f.u.
density	13.5	g/cm³
total magnetic moment	0.0	μB per formula unit
N(E_F)	1.6	states/eV/f.u.



11.
VASP calculation (meta-GGA SCAN) on a PBEsol-optimized structure of Re2MoSe4.

Cell: 6.612 6.613 6.613 Å, 93.60 93.52 93.12°
Space group P1 (No. 1)
Inequivalent atoms, fractional coordinates:
Re  0.000  0.000  0.000
Re  0.040  0.353  0.220
Re  0.172  0.533  0.906
Re  0.353  0.218  0.037
Mo  0.130  0.178  0.685
Mo  0.818  0.314  0.867
Se  0.219  0.030  0.324
Se  0.321  0.889  0.821
Se  0.375  0.553  0.241
Se  0.458  0.395  0.719
Se  0.713  0.133  0.195
Se  0.794  0.973  0.667
Se  0.852  0.643  0.086
Se  0.953  0.506  0.578

E_form (uncorrected)	-3.5	eV/f.u.
density	9.1	g/cm³
total magnetic moment	0.0	μB per formula unit



12.
VASP calculation (meta-GGA SCAN) on a PBEsol-optimized structure of Re9Mo3Se16.

Cell: 6.603 6.605 13.209 Å, 93.71 93.17 93.39°
Space group P1 (No. 1)
Inequivalent atoms, fractional coordinates:
Re  0.000  0.000  0.000
Re  0.001  0.002  0.500
Re  0.131  0.685  0.091
Re  0.133  0.687  0.591
Re  0.171  0.907  0.267
Re  0.173  0.909  0.768
Re  0.354  0.039  0.110
Re  0.817  0.869  0.158
Re  0.819  0.871  0.658
Mo  0.040  0.223  0.177
Mo  0.043  0.224  0.678
Mo  0.356  0.041  0.610
Se  0.220  0.327  0.014
Se  0.220  0.330  0.514
Se  0.321  0.821  0.445
Se  0.324  0.819  0.946
Se  0.379  0.240  0.278
Se  0.379  0.242  0.781
Se  0.460  0.713  0.701
Se  0.460  0.714  0.200
Se  0.710  0.189  0.068
Se  0.714  0.190  0.569
Se  0.797  0.664  0.990
Se  0.797  0.666  0.490
Se  0.849  0.087  0.322
Se  0.850  0.087  0.823
Se  0.952  0.582  0.253
Se  0.955  0.584  0.752

E_form (uncorrected)	-12.4	eV/f.u.
density	9.4	g/cm³
total magnetic moment	0.0	μB per formula unit
N(E_F)	8.2	states/eV/f.u.



13.
VASP calculation (meta-GGA SCAN) on a PBEsol-optimized structure of ZnReMoSe2.

Cell: 4.763 4.763 4.938 Å, 90.00 90.00 90.00°
Space group P4/mmm (No. 123)
Inequivalent atoms, fractional coordinates:
Zn  0.000  0.000  0.000
Re  0.500  0.500  0.000
Mo  0.000  0.000  0.500
Se  0.000  0.500  0.500

E_form (uncorrected)	7.3	eV/f.u.
density	7.5	g/cm³
total magnetic moment	5.5	μB per formula unit
N(E_F)	2.5	states/eV/f.u.



14.
VASP calculation (meta-GGA SCAN) on a PBEsol-optimized structure of ReSiMo2.

Cell: 2.7870 2.7870 25.9906 Å, 90.00 90.00 120.00°
Space group R-3m (No. 166, hexagonal axes)
Inequivalent atoms, fractional coordinates:
Re  0.0000  0.0000  0.0000
Si  0.0000  0.0000  0.5000
Mo  0.0000  0.0000  0.2484

E_form (uncorrected)	0.4	eV/f.u.
density	11.6	g/cm³
total magnetic moment	0.0	μB per formula unit
N(E_F)	2.5	states/eV/f.u.



15.
VASP calculation (meta-GGA SCAN) on a PBEsol-optimized structure of Re2SiMo.

Cell: 3.019 4.565 8.297 Å, 90.00 90.00 90.00°
Space group Cmmm (No. 65)
Inequivalent atoms, fractional coordinates:
Re  0.000  0.000  0.235
Si  0.000  0.500  0.000
Mo  0.000  0.500  0.500

E_form (uncorrected)	0.6	eV/f.u.
density	14.4	g/cm³
total magnetic moment	0.0	μB per formula unit
N(E_F)	3.1	states/eV/f.u.



16.
VASP calculation (meta-GGA SCAN) on a PBEsol-optimized structure of ReSiMo2.

Cell: 3.681 3.681 8.441 Å, 90.00 90.00 90.00°
Space group I4/mmm (No. 139)
Inequivalent atoms, fractional coordinates:
Re  0.000  0.000  0.000
Si  0.000  0.000  0.500
Mo  0.000  0.500  0.250

E_form (uncorrected)	0.1	eV/f.u.
density	11.8	g/cm³
total magnetic moment	0.0	μB per formula unit
N(E_F)	2.9	states/eV/f.u.



17.
VASP calculation (meta-GGA SCAN) on a PBEsol-optimized structure of ReSi2Mo.

Cell: 3.116 3.116 5.543 Å, 90.00 90.00 90.00°
Space group P4mm (No. 99)
Inequivalent atoms, fractional coordinates:
Re  0.000  0.000  0.000
Si  0.000  0.000  0.464
Si  0.500  0.500  0.214
Mo  0.500  0.500  0.684

E_form (uncorrected)	-1.5	eV/f.u.
density	10.4	g/cm³
total magnetic moment	0.0	μB per formula unit
N(E_F)	1.2	states/eV/f.u.



18.
VASP calculation (meta-GGA SCAN) on a PBEsol-optimized structure of SrRe2Mo.

Cell: 2.8328 2.8328 30.1657 Å, 90.00 90.00 120.00°
Space group R3m (No. 160, hexagonal axes)
Inequivalent atoms, fractional coordinates:
Sr  0.0000  0.0000  0.0000
Re  0.0000  0.0000  0.2402
Re  0.0000  0.0000  0.5038
Mo  0.0000  0.0000  0.7634

ΔH_f (0 K)	0.900	eV per atom
density	13.2	g/cm³
total magnetic moment	0.0	μB per formula unit
N(E_F)	3.1	states/eV/f.u.



19.
VASP calculation (meta-GGA SCAN) on a PBEsol-optimized structure of Sr2ReMo.

Cell: 3.373 3.827 18.097 Å, 90.00 90.00 90.00°
Space group Immm (No. 71)
Inequivalent atoms, fractional coordinates:
Sr  0.000  0.000  0.149
Re  0.000  0.500  0.500
Mo  0.000  0.500  0.000

ΔH_f (0 K)	0.661	eV per atom
density	6.5	g/cm³
total magnetic moment	0.0	μB per formula unit
N(E_F)	4.2	states/eV/f.u.



20.
VASP calculation (meta-GGA SCAN) on a PBEsol-optimized structure of Sr2ReMo.

Cell: 2.804 5.317 5.626 Å, 90.00 90.13 90.00°
Space group P2/m (No. 10)
Inequivalent atoms, fractional coordinates:
Sr  0.001  0.000  0.252
Re  0.500  0.500  0.500
Mo  0.500  0.500  0.000

ΔH_f (0 K)	1.289	eV per atom
density	9.1	g/cm³
total magnetic moment	0.0	μB per formula unit
N(E_F)	2.2	states/eV/f.u.